## P
This record from Alexandria describes Tc2HgSe after structural relaxation. The functional is PBE.

Density of states at the Fermi level: 15.92 states/eV per cell
Volume: 200 Å³ per cell
SG: No. 166

Lattice parameters (Å, degrees): 3.013 3.013 25.420 90.00 90.00 120.00
Fractional coordinates of all 12 atoms:
Tc: 0.000 0.000 0.239
Tc: 0.000 0.000 0.761
Tc: 0.333 0.667 0.427
Tc: 0.333 0.667 0.906
Tc: 0.667 0.333 0.094
Tc: 0.667 0.333 0.573
Hg: 0.000 0.000 0.000
Hg: 0.333 0.667 0.667
Hg: 0.667 0.333 0.333
Se: 0.000 0.000 0.500
Se: 0.333 0.667 0.167
Se: 0.667 0.333 0.833


## Q
This record from Alexandria describes Tc2HgSe after structural relaxation. The functional is PBE.

Density of states at the Fermi level: 7.96 states/eV per cell
Volume: 139 Å³ per cell
SG: No. 65

Lattice parameters (Å, degrees): 3.018 5.269 8.736 90.00 90.00 90.00
Fractional coordinates of all 8 atoms:
Tc: 0.000 0.000 0.219
Tc: 0.000 0.000 0.781
Tc: 0.500 0.500 0.219
Tc: 0.500 0.500 0.781
Hg: 0.000 0.500 0.500
Hg: 0.500 0.000 0.500
Se: 0.000 0.500 0.000
Se: 0.500 0.000 0.000


Result of the stability comparison: P is the most stable of them.


## P
This record from Alexandria describes SrPtW after structural relaxation. The functional is PBE.

Density of states at the Fermi level: 9.02 states/eV per cell
Volume: 272 Å³ per cell
SG: No. 44

Lattice parameters (Å, degrees): 4.579 7.847 7.571 90.00 90.00 90.00
Fractional coordinates of all 12 atoms:
Sr: 0.000 0.000 0.000
Sr: 0.000 0.500 0.143
Sr: 0.500 0.000 0.643
Sr: 0.500 0.500 0.500
Pt: 0.000 0.305 0.727
Pt: 0.000 0.695 0.727
Pt: 0.500 0.195 0.227
Pt: 0.500 0.805 0.227
W: 0.000 0.154 0.405
W: 0.000 0.846 0.405
W: 0.500 0.346 0.905
W: 0.500 0.654 0.905


## Q
This record from Alexandria describes SrPtW after structural relaxation. The functional is PBE.

Density of states at the Fermi level: 7.30 states/eV per cell
Volume: 265 Å³ per cell
SG: No. 46

Lattice parameters (Å, degrees): 6.234 8.324 5.104 90.00 90.00 90.00
Fractional coordinates of all 12 atoms:
Sr: 0.250 0.123 0.000
Sr: 0.250 0.377 0.500
Sr: 0.750 0.623 0.500
Sr: 0.750 0.877 0.000
Pt: 0.000 0.000 0.506
Pt: 0.000 0.500 0.006
Pt: 0.500 0.000 0.506
Pt: 0.500 0.500 0.006
W: 0.250 0.720 0.818
W: 0.250 0.780 0.318
W: 0.750 0.220 0.318
W: 0.750 0.280 0.818


Result of the stability comparison: Q is the most stable of them.